# AcLa2TbNd6

AcLa2TbNd6 after structural relaxation (PBE, Alexandria via LeMat-Bulk).

a = 9.1302 Å, b = 9.1302 Å, c = 10.0312 Å
α = 93.66°, β = 93.66°, γ = 118.16°
Element x y z (fractional)
Ac 0.0182 0.9818 0.7500
Ac 0.9818 0.0182 0.2500
La 0.1971 0.3087 0.5433
La 0.3087 0.1971 0.0433
La 0.6913 0.8029 0.9567
La 0.8029 0.6913 0.4567
Tb 0.4079 0.5921 0.2500
Tb 0.5921 0.4079 0.7500
Nd 0.0175 0.5679 0.6891
Nd 0.1257 0.7413 0.0544
Nd 0.2587 0.8743 0.4456
Nd 0.2936 0.5015 0.8817
Nd 0.4321 0.9825 0.8109
Nd 0.4985 0.7064 0.6183
Nd 0.5015 0.2936 0.3817
Nd 0.5679 0.0175 0.1891
Nd 0.7064 0.4985 0.1183
Nd 0.7413 0.1257 0.5544
Nd 0.8743 0.2587 0.9456
Nd 0.9825 0.4321 0.3109

Properties
- Fermi-level density of states: 1.57 states/eV per atom
- Energy: -92.1 eV/cell
- Formation energy: 0.1137 eV per atom
- Calculated density: 6.94 g cm⁻³
- Crystal system: monoclinic